1.
{"formula": "ZrCdSb2", "functional": "PBE", "state": "relaxed", "energy_ev_per_fu": -18.1, "dos_ef_per_ev_cell": 0.628, "spacegroup": "P4mm (99)", "cell": [[3.146, 0.000, 0.000], [0.000, 3.146, 0.000], [0.000, 0.000, 10.584]], "species": ["Zr", "Cd", "Sb", "Sb"], "fractional_positions": [[0.000, 0.000, 0.000], [0.500, 0.500, 0.213], [0.000, 0.000, 0.435], [0.500, 0.500, 0.785]]}

=====

2.
{"formula": "Zr2Cd2Sb", "functional": "PBE", "state": "relaxed", "energy_ev_per_fu": -23.7, "dos_ef_per_ev_cell": 8.749, "spacegroup": "P4/mbm (127)", "cell": [[7.393, 0.000, 0.000], [0.000, 7.393, 0.000], [0.000, 0.000, 4.512]], "species": ["Zr", "Zr", "Zr", "Zr", "Cd", "Cd", "Cd", "Cd", "Sb", "Sb"], "fractional_positions": [[0.151, 0.349, 0.000], [0.349, 0.849, 0.000], [0.651, 0.151, 0.000], [0.849, 0.651, 0.000], [0.146, 0.646, 0.500], [0.354, 0.146, 0.500], [0.646, 0.854, 0.500], [0.854, 0.354, 0.500], [0.000, 0.000, 0.000], [0.500, 0.500, 0.000]]}